Density functional theory data (PBE) for a relaxed structure of Tb3TeBr7.

Calculated values
energy relative to the elements, uncorrected: -1788 meV/atom
size of the total moment: 0.000 μB per formula unit
volume: 439.5 Å³/cell

abc: 8.252 8.252 10.184
angles: 126.58 126.58 61.67
Atoms (fractional coordinates):
Tb 0.000 0.000 0.000
Tb 0.512 0.999 0.513
Tb 0.999 0.512 0.513
Te 0.966 0.966 0.674
Br 0.039 0.568 0.833
Br 0.053 0.053 0.341
Br 0.431 0.431 0.657
Br 0.432 0.957 0.183
Br 0.567 0.567 0.361
Br 0.568 0.039 0.833
Br 0.957 0.432 0.183


Density functional theory data (PBE) for a relaxed structure of Tb2TeBr.

Calculated values
energy relative to the elements, uncorrected: -1079 meV/atom
size of the total moment: 0.000 μB per formula unit
polymorph energy (0 for the lowest one): 0 meV per atom
volume: 406.8 Å³/cell

abc: 7.410 7.410 7.410
angles: 90.00 90.00 90.00
Atoms (fractional coordinates):
Tb 0.250 0.250 0.250
Tb 0.250 0.250 0.750
Tb 0.250 0.750 0.250
Tb 0.250 0.750 0.750
Tb 0.750 0.250 0.250
Tb 0.750 0.250 0.750
Tb 0.750 0.750 0.250
Tb 0.750 0.750 0.750
Te 0.000 0.000 0.000
Te 0.000 0.500 0.500
Te 0.500 0.000 0.500
Te 0.500 0.500 0.000
Br 0.000 0.000 0.500
Br 0.000 0.500 0.000
Br 0.500 0.000 0.000
Br 0.500 0.500 0.500


Density functional theory data (PBE) for a relaxed structure of Tb2ThBr.

Calculated values
energy relative to the elements, uncorrected: -432 meV/atom
size of the total moment: 0.000 μB per formula unit
polymorph energy (0 for the lowest one): 124 meV per atom
volume: 122.5 Å³/cell

abc: 3.596 3.596 9.469
angles: 90.00 90.00 90.00
Atoms (fractional coordinates):
Tb 0.000 0.000 0.246
Tb 0.000 0.000 0.754
Th 0.500 0.500 0.500
Br 0.500 0.500 0.000


Density functional theory data (PBE) for a relaxed structure of Tb2ThBr.

Calculated values
energy relative to the elements, uncorrected: -556 meV/atom
size of the total moment: 0.000 μB per formula unit
polymorph energy (0 for the lowest one): 0 meV per atom
volume: 355.3 Å³/cell

abc: 3.678 3.678 30.328
angles: 90.00 90.00 120.00
Atoms (fractional coordinates):
Tb 0.000 0.000 0.243
Tb 0.000 0.000 0.757
Tb 0.333 0.667 0.424
Tb 0.333 0.667 0.910
Tb 0.667 0.333 0.090
Tb 0.667 0.333 0.576
Th 0.000 0.000 0.000
Th 0.333 0.667 0.667
Th 0.667 0.333 0.333
Br 0.000 0.000 0.500
Br 0.333 0.667 0.167
Br 0.667 0.333 0.833